CsErFeF6 | PBE+U | optimized geometry

## Properties
Its total energy is -49.90 eV per cell. The density of states at the Fermi level comes out at 0.000 states/eV/atom. Its total moment is 0.0 μB/f.u.

Cell: 5.7460 5.7460 6.4589 Å, 90.00 90.00 120.00°
Space group P312 (No. 149)
Unique sites:
1 Cs 0.0000 0.0000 0.0000
2 Er 0.3333 0.6667 0.5000
3 Fe 0.6667 0.3333 0.5000
4 F 0.3939 0.0120 0.6801